(1)
Compound: Mg2CdPd
Source: the Alexandria database
Functional: PBE
Structure: relaxed

crystal system	tetragonal
DOS(E_F)	2.5	states/eV/cell

Cell lengths 7.6169, 7.6169, 6.0947 Å; angles 51.33, 51.33, 90.00 degrees
Last column: nearest neighbours and their distance in Å.
Fractional coordinates of all 8 atoms:
1 Mg 0.5852 0.1250 0.2500  2 Pd 2.59
2 Mg 0.1648 0.6250 0.2500  2 Pd 2.59
3 Mg 0.3750 0.4148 0.7500  2 Pd 2.59
4 Mg 0.8750 0.8352 0.7500  2 Pd 2.59
5 Pd 0.5000 0.5000 0.0000  4 Mg 2.59, 2 Cd 2.85
6 Pd 0.2500 0.7500 0.5000  4 Mg 2.59, 2 Cd 2.85
7 Cd 0.0000 0.0000 0.0000  2 Pd 2.85, 4 Mg 3.00
8 Cd 0.7500 0.2500 0.5000  2 Pd 2.85, 4 Mg 3.00



(2)
Compound: CeZrTiGa
Source: the Alexandria database
Functional: PBE
Structure: relaxed

crystal system	cubic
DOS(E_F)	6.4	states/eV/cell

Cell lengths 4.9375, 4.9375, 4.9375 Å; angles 60.00, 60.00, 60.00 degrees
Last column: nearest neighbours and their distance in Å.
Fractional coordinates of all 4 atoms:
1 Ga 0.7500 0.7500 0.7500  4 Ce 3.02, 4 Zr 3.02
2 Zr 0.0000 0.0000 0.0000  4 Ti 3.02, 4 Ga 3.02
3 Ce 0.5000 0.5000 0.5000  4 Ti 3.02, 4 Ga 3.02
4 Ti 0.2500 0.2500 0.2500  4 Zr 3.02, 4 Ce 3.02



(3)
Compound: Mn2NbNiH
Source: the Alexandria database
Functional: PBE
Structure: relaxed

crystal system	tetragonal
DOS(E_F)	5.4	states/eV/cell
energy relative to the lowest polymorph listed for this composition	0.040	eV/atom

Cell lengths 3.7074, 3.7074, 3.9739 Å; angles 90.00, 90.00, 90.00 degrees
Last column: nearest neighbours and their distance in Å.
Fractional coordinates of all 5 atoms:
1 Ni 0.5000 0.5000 0.5000  4 Nb 2.62, 8 Mn 2.72
2 Nb 0.0000 0.0000 0.5000  2 H 1.99
3 Mn 0.0000 0.5000 0.0000  2 H 1.85
4 Mn 0.5000 0.0000 0.0000  2 H 1.85
5 H 0.0000 0.0000 0.0000  4 Mn 1.85, 2 Nb 1.99



(4)
Compound: PdSeS
Source: the Alexandria database
Functional: PBE
Structure: relaxed

crystal system	orthorhombic
formation energy without anion corrections	-263.2	meV/atom
energy relative to the lowest polymorph listed for this composition	0.000	eV/atom

Cell lengths 5.6445, 5.7675, 8.4191 Å; angles 90.00, 90.00, 90.00 degrees
Last column: nearest neighbours and their distance in Å.
Fractional coordinates of all 12 atoms:
1 Pd 0.5241 0.9922 0.5005  2 S 2.35-2.36, 2 Se 2.45-2.46
2 Pd 0.0241 0.5078 0.4995  2 S 2.35-2.36, 2 Se 2.45-2.46
3 Pd 0.4759 0.4922 0.9995  2 S 2.35-2.36, 2 Se 2.45-2.46
4 Pd 0.9759 0.0078 0.0005  2 S 2.35-2.36, 2 Se 2.45-2.46
5 Se 0.3732 0.8859 0.9127  1 S 2.27, 2 Pd 2.45-2.46
6 Se 0.8732 0.6141 0.0873  1 S 2.27, 2 Pd 2.45-2.46
7 Se 0.6268 0.3859 0.5873  1 S 2.27, 2 Pd 2.45-2.46
8 Se 0.1268 0.1141 0.4127  1 S 2.27, 2 Pd 2.45-2.46
9 S 0.5894 0.1167 0.0757  1 Se 2.27, 2 Pd 2.35-2.36
10 S 0.0894 0.3833 0.9243  1 Se 2.27, 2 Pd 2.35-2.36
11 S 0.4106 0.6167 0.4243  1 Se 2.27, 2 Pd 2.35-2.36
12 S 0.9106 0.8833 0.5757  1 Se 2.27, 2 Pd 2.35-2.36



(5)
Compound: CrIN3
Source: the Alexandria database
Functional: PBE
Structure: relaxed

crystal system	cubic
DOS(E_F)	4.3	states/eV/cell
formation energy without anion corrections	2188.8	meV/atom

Cell lengths 3.9793, 3.9793, 3.9793 Å; angles 90.00, 90.00, 90.00 degrees
Last column: nearest neighbours and their distance in Å.
Fractional coordinates of all 5 atoms:
1 I 0.0000 0.0000 0.0000  6 N 1.99
2 Cr 0.5000 0.5000 0.5000  12 N 2.81
3 N 0.0000 0.5000 0.0000  2 I 1.99
4 N 0.0000 0.0000 0.5000  2 I 1.99
5 N 0.5000 0.0000 0.0000  2 I 1.99



(6)
Compound: NaRuRh
Source: the Alexandria database
Functional: PBE
Structure: relaxed

crystal system	monoclinic
DOS(E_F)	8.2	states/eV/cell
energy relative to the lowest polymorph listed for this composition	0.092	eV/atom

Cell lengths 4.7627, 2.7616, 7.5382 Å; angles 90.00, 102.40, 90.00 degrees
Last column: nearest neighbours and their distance in Å.
Fractional coordinates of all 6 atoms:
1 Ru 0.5597 0.0000 0.6609  4 Ru 2.54-2.76, 5 Rh 2.63-2.76
2 Ru 0.8187 0.5000 0.9299  4 Ru 2.54-2.76, 5 Rh 2.63-2.76
3 Rh 0.0572 0.5000 0.6464  5 Ru 2.63-2.76, 4 Rh 2.71-2.76
4 Rh 0.3220 0.0000 0.9448  5 Ru 2.63-2.76, 4 Rh 2.71-2.76
5 Na 0.1002 0.0000 0.2959  6 Na 2.75-2.76, 3 Rh 3.03-3.05
6 Na 0.6012 0.5000 0.2966  6 Na 2.75-2.76, 3 Rh 3.03



(7)
Compound: Cu2As
Source: the Alexandria database
Functional: PBE
Structure: relaxed

crystal system	cubic
DOS(E_F)	3.2	states/eV/cell

Cell lengths 4.9699, 4.9699, 4.9699 Å; angles 60.00, 60.00, 60.00 degrees
Last column: nearest neighbours and their distance in Å.
Fractional coordinates of all 6 atoms:
1 Cu 0.1250 0.6250 0.1250  6 Cu 2.48
2 Cu 0.1250 0.1250 0.1250  6 Cu 2.48
3 Cu 0.6250 0.1250 0.1250  6 Cu 2.48
4 Cu 0.1250 0.1250 0.6250  6 Cu 2.48
5 As 0.7500 0.7500 0.7500  12 Cu 2.91, 4 As 3.04
6 As 0.5000 0.5000 0.5000  12 Cu 2.91, 4 As 3.04



(8)
Compound: HfCrSiN2
Source: the Alexandria database
Functional: PBE
Structure: relaxed

crystal system	tetragonal
DOS(E_F)	4.6	states/eV/cell
formation energy without anion corrections	1241.3	meV/atom

Cell lengths 3.6703, 3.6703, 5.2621 Å; angles 90.00, 90.00, 90.00 degrees
Last column: nearest neighbours and their distance in Å.
Fractional coordinates of all 5 atoms:
1 Cr 0.5000 0.5000 0.5000  4 Hf 2.60
2 Si 0.0000 0.0000 0.0000  4 N 1.84
3 Hf 0.0000 0.0000 0.5000  4 Cr 2.60, 2 Si 2.63
4 N 0.0000 0.5000 0.0000  2 Si 1.84
5 N 0.5000 0.0000 0.0000  2 Si 1.84



(9)
Compound: NdTmInPd
Source: the Alexandria database
Functional: PBE
Structure: relaxed

crystal system	cubic
DOS(E_F)	3.5	states/eV/cell

Cell lengths 5.2144, 5.2144, 5.2144 Å; angles 60.00, 60.00, 60.00 degrees
Last column: nearest neighbours and their distance in Å.
Fractional coordinates of all 4 atoms:
1 Tm 0.2500 0.2500 0.2500  4 In 3.19, 4 Pd 3.19
2 Nd 0.7500 0.7500 0.7500  4 In 3.19, 4 Pd 3.19
3 Pd 0.0000 0.0000 0.0000  4 Nd 3.19, 4 Tm 3.19
4 In 0.5000 0.5000 0.5000  4 Tm 3.19, 4 Nd 3.19



(10)
Compound: Ac2SiSnAu6
Source: the Alexandria database
Functional: PBE
Structure: relaxed

crystal system	triclinic
DOS(E_F)	4.6	states/eV/cell
formation energy without anion corrections	-516.7	meV/atom

Cell lengths 7.1478, 7.2140, 9.0334 Å; angles 50.70, 51.32, 84.23 degrees
Last column: nearest neighbours and their distance in Å.
Fractional coordinates of all 10 atoms:
1 Ac 0.7533 0.2454 0.4756  7 Au 3.22-3.40
2 Ac 0.2467 0.7546 0.5244  7 Au 3.22-3.40
3 Si 0.0000 0.0000 0.0000  6 Au 2.53-2.69
4 Sn 0.5000 0.5000 0.0000  6 Au 2.81-2.85
5 Au 0.2711 0.2263 0.5192  1 Si 2.53, 1 Sn 2.81, 2 Au 2.81-2.83
6 Au 0.7722 0.7289 0.0177  1 Si 2.53, 2 Au 2.81-2.83, 1 Sn 2.81
7 Au 0.2406 0.7572 0.1519  1 Si 2.69, 1 Sn 2.85, 2 Au 3.00
8 Au 0.7594 0.2428 0.8481  1 Si 2.69, 1 Sn 2.85, 2 Au 3.00
9 Au 0.2278 0.2711 0.9823  1 Si 2.53, 2 Au 2.81-2.83, 1 Sn 2.81
10 Au 0.7289 0.7737 0.4808  1 Si 2.53, 1 Sn 2.81, 2 Au 2.81-2.83



(11)
Compound: Ac3Si3Ir2
Source: the Alexandria database
Functional: PBE
Structure: relaxed

crystal system	orthorhombic
DOS(E_F)	9.4	states/eV/cell
formation energy without anion corrections	-782.9	meV/atom
energy relative to the lowest polymorph listed for this composition	0.000	eV/atom

Cell lengths 4.2385, 6.1982, 15.9931 Å; angles 90.00, 90.00, 109.99 degrees
Last column: nearest neighbours and their distance in Å.
Fractional coordinates of all 16 atoms:
1 Ac 0.8441 0.6881 0.4071  4 Ir 3.24-3.43, 7 Si 3.26-3.43
2 Ac 0.1559 0.3119 0.9071  4 Ir 3.24-3.43, 7 Si 3.26-3.43
3 Ac 0.8441 0.6881 0.0929  4 Ir 3.24-3.43, 7 Si 3.26-3.43
4 Ac 0.1559 0.3119 0.5929  4 Ir 3.24-3.43, 7 Si 3.26-3.43
5 Ac 0.5538 0.1076 0.2500  4 Ir 3.14, 5 Si 3.14-3.42
6 Ac 0.4462 0.8924 0.7500  4 Ir 3.14, 5 Si 3.14-3.42
7 Si 0.5696 0.1391 0.4459  1 Si 2.37, 2 Ir 2.48
8 Si 0.4304 0.8609 0.9459  1 Si 2.37, 2 Ir 2.48
9 Si 0.5696 0.1391 0.0541  1 Si 2.37, 2 Ir 2.48
10 Si 0.4304 0.8609 0.5541  1 Si 2.37, 2 Ir 2.48
11 Si 0.2606 0.5212 0.2500  2 Ir 2.55
12 Si 0.7394 0.4788 0.7500  2 Ir 2.55
13 Ir 0.8639 0.7277 0.8815  3 Si 2.48-2.55
14 Ir 0.1361 0.2723 0.3815  3 Si 2.48-2.55
15 Ir 0.8639 0.7277 0.6185  3 Si 2.48-2.55
16 Ir 0.1361 0.2723 0.1185  3 Si 2.48-2.55



(12)
Compound: NiRh3
Source: the Alexandria database
Functional: PBE
Structure: relaxed

crystal system	orthorhombic
DOS(E_F)	27.3	states/eV/cell

Cell lengths 8.7205, 5.3521, 4.6539 Å; angles 90.00, 90.00, 90.00 degrees
Last column: nearest neighbours and their distance in Å.
Fractional coordinates of all 16 atoms:
1 Ni 0.7500 0.6274 0.0870  10 Rh 2.65-2.72, 2 Ni 2.67
2 Ni 0.2500 0.1274 0.4130  10 Rh 2.65-2.72, 2 Ni 2.67
3 Ni 0.7500 0.8726 0.5870  10 Rh 2.65-2.72, 2 Ni 2.67
4 Ni 0.2500 0.3726 0.9130  10 Rh 2.65-2.72, 2 Ni 2.67
5 Rh 0.2500 0.8759 0.9218  4 Ni 2.65-2.72, 8 Rh 2.66-2.70
6 Rh 0.0023 0.3752 0.2476  3 Ni 2.65-2.69, 9 Rh 2.66-2.70
7 Rh 0.4977 0.3752 0.2476  3 Ni 2.65-2.69, 9 Rh 2.66-2.70
8 Rh 0.5023 0.8752 0.2524  3 Ni 2.65-2.69, 9 Rh 2.66-2.70
9 Rh 0.9977 0.8752 0.2524  3 Ni 2.65-2.69, 9 Rh 2.66-2.70
10 Rh 0.7500 0.3759 0.5782  4 Ni 2.65-2.72, 8 Rh 2.66-2.70
11 Rh 0.2500 0.6241 0.4218  4 Ni 2.65-2.72, 8 Rh 2.66-2.70
12 Rh 0.0023 0.1248 0.7476  3 Ni 2.65-2.69, 9 Rh 2.66-2.70
13 Rh 0.4977 0.1248 0.7476  3 Ni 2.65-2.69, 9 Rh 2.66-2.70
14 Rh 0.5023 0.6248 0.7524  3 Ni 2.65-2.69, 9 Rh 2.66-2.70
15 Rh 0.9977 0.6248 0.7524  3 Ni 2.65-2.69, 9 Rh 2.66-2.70
16 Rh 0.7500 0.1241 0.0782  4 Ni 2.65-2.72, 8 Rh 2.66-2.70



Total DFT energy (no corrections): -0.0911, -0.2370, -0.2767, -0.1665, -0.1853, -0.2057, -0.1495, -0.2605, -0.1785, -0.1561, -0.2415, -0.2536 (hartree per atom)